# PBE-GGA K2BeP, optimized geometry
data_K2BeP
_cell_length_a 7.664
_cell_length_b 7.664
_cell_length_c 7.664
_cell_angle_alpha 90.00
_cell_angle_beta 90.00
_cell_angle_gamma 90.00
_symmetry_space_group_name_H-M 'F m -3 m'
_symmetry_Int_Tables_number 225
_symmetry_space_group_name_Hall '-F 4 2 3'
loop_
_atom_site_label
_atom_site_fract_x
_atom_site_fract_y
_atom_site_fract_z
_atom_site_occupancy
K1 0.250 0.250 0.250 1
Be1 0.000 0.000 0.000 1
P1 0.000 0.000 0.500 1
# magnetization	0.0	μB/f.u.
# ΔE to the lowest computed polymorph	885.5	meV/atom
# crystal system	cubic
# E_form	0.643	eV per atom

---

# PBE-GGA Pm6Er2Mg, optimized geometry
data_Pm6Er2Mg
_cell_length_a 21.066
_cell_length_b 9.455
_cell_length_c 6.094
_cell_angle_alpha 90.00
_cell_angle_beta 106.80
_cell_angle_gamma 90.00
_symmetry_space_group_name_H-M 'C 1 2/c 1'
_symmetry_Int_Tables_number 15
_symmetry_space_group_name_Hall '-C 2yc'
loop_
_atom_site_label
_atom_site_fract_x
_atom_site_fract_y
_atom_site_fract_z
_atom_site_occupancy
Pm1 0.079 0.074 0.230 1
Pm2 0.080 0.424 0.426 1
Pm3 0.170 0.251 0.920 1
Er1 0.250 0.080 0.551 1
Mg1 0.000 0.251 0.750 1
# magnetization	0.0	μB/f.u.
# ΔE to the lowest computed polymorph	41.9	meV/atom
# crystal system	monoclinic
# E_form	0.065	eV per atom

---

# PBE-GGA ZnCdCu2, optimized geometry
data_ZnCdCu2
_cell_length_a 9.527
_cell_length_b 2.975
_cell_length_c 4.478
_cell_angle_alpha 90.00
_cell_angle_beta 110.73
_cell_angle_gamma 90.00
_symmetry_space_group_name_H-M 'C 1 m 1'
_symmetry_Int_Tables_number 8
_symmetry_space_group_name_Hall 'C -2y'
loop_
_atom_site_label
_atom_site_fract_x
_atom_site_fract_y
_atom_site_fract_z
_atom_site_occupancy
Zn1 0.000 0.000 0.000 1
Cd1 0.227 0.000 0.683 1
Cu1 0.241 0.500 0.192 1
Cu2 0.467 0.000 0.463 1
# magnetization	0.0	μB/f.u.
# crystal system	monoclinic
# E_form	0.023	eV per atom

---

# PBE-GGA Li2BeSi4Pt3, optimized geometry
data_Li2BeSi4Pt3
_cell_length_a 3.787
_cell_length_b 3.787
_cell_length_c 10.828
_cell_angle_alpha 90.00
_cell_angle_beta 90.00
_cell_angle_gamma 90.00
_symmetry_space_group_name_H-M 'P -4 m 2'
_symmetry_Int_Tables_number 115
_symmetry_space_group_name_Hall 'P -4 -2'
loop_
_atom_site_label
_atom_site_fract_x
_atom_site_fract_y
_atom_site_fract_z
_atom_site_occupancy
Li1 0.000 0.500 0.222 1
Be1 0.500 0.500 0.000 1
Si1 0.000 0.000 0.500 1
Si2 0.000 0.500 0.862 1
Si3 0.500 0.500 0.500 1
Pt1 0.000 0.000 0.000 1
Pt2 0.000 0.500 0.640 1
# magnetization	0.0	μB/f.u.
# crystal system	tetragonal
# E_form (uncorrected)	-0.49	eV per atom

---

# PBE-GGA Li2MgTc, optimized geometry
data_Li2MgTc
_cell_length_a 4.716
_cell_length_b 4.716
_cell_length_c 2.677
_cell_angle_alpha 90.00
_cell_angle_beta 90.00
_cell_angle_gamma 90.00
_symmetry_space_group_name_H-M 'P 4/m m m'
_symmetry_Int_Tables_number 123
_symmetry_space_group_name_Hall '-P 4 2'
loop_
_atom_site_label
_atom_site_fract_x
_atom_site_fract_y
_atom_site_fract_z
_atom_site_occupancy
Li1 0.000 0.500 0.000 1
Mg1 0.000 0.000 0.500 1
Tc1 0.500 0.500 0.500 1
# magnetization	0.0	μB/f.u.
# crystal system	tetragonal
# E_form	0.400	eV per atom

---

# PBE-GGA PmPr2Nd5Tm, optimized geometry
data_PmPr2Nd5Tm
_cell_length_a 8.780
_cell_length_b 8.780
_cell_length_c 16.476
_cell_angle_alpha 90.00
_cell_angle_beta 90.00
_cell_angle_gamma 90.00
_symmetry_space_group_name_H-M 'I 4/m c m'
_symmetry_Int_Tables_number 140
_symmetry_space_group_name_Hall '-I 4 2c'
loop_
_atom_site_label
_atom_site_fract_x
_atom_site_fract_y
_atom_site_fract_z
_atom_site_occupancy
Pm1 0.000 0.000 0.250 1
Pr1 0.120 0.380 0.000 1
Nd1 0.000 0.000 0.000 1
Nd2 0.215 0.285 0.358 1
Tm1 0.000 0.500 0.250 1
# magnetization	0.0	μB/f.u.
# crystal system	tetragonal
# E_form	0.271	eV per atom